# PBE with a Hubbard U RbAcCrF6, relaxed
data_RbAcCrF6
_chemical_formula_sum 'Rb4 Ac4 Cr4 F24'
_space_group_name_H-M_alt 'I m m a'
_space_group_IT_number 74
_space_group_name_Hall '-I 2b 2'
_cell_length_a 7.925
_cell_length_b 8.178
_cell_length_c 10.621
_cell_angle_alpha 90.00
_cell_angle_beta 90.00
_cell_angle_gamma 90.00
loop_
_atom_site_label
_atom_site_type_symbol
_atom_site_fract_x
_atom_site_fract_y
_atom_site_fract_z
Rb1 Rb 0.000 0.250 0.079
Ac1 Ac 0.000 0.000 0.500
Cr1 Cr 0.250 0.250 0.750
F1 F 0.000 0.250 0.368
F2 F 0.000 0.250 0.639
F3 F 0.227 0.069 0.883
# final energy: -214.4 eV for the cell shown
# crystal system: orthorhombic
# total magnetization: 4.0 μB/f.u.
# calculated volume: 688.3 Å³ per cell